No. 1
Here is crystalline Ho3MgCu at its relaxed geometry from Alexandria via LeMat-Bulk. Energies are from PBE.

```
data_Ho3MgCu
_cell_length_a 6.681
_cell_length_b 9.371
_cell_length_c 16.400
_cell_angle_alpha 90.00
_cell_angle_beta 90.00
_cell_angle_gamma 90.00
_space_group_name_H-M_alt 'F m m m'
_space_group_IT_number 69
_space_group_name_Hall '-F 2 2'
loop_
_atom_site_label
_atom_site_type_symbol
_atom_site_fract_x
_atom_site_fract_y
_atom_site_fract_z
Ho1 Ho 0.000 0.000 0.206
Ho2 Ho 0.000 0.192 0.393
Mg1 Mg 0.202 0.000 0.000
Cu1 Cu 0.250 0.250 0.250
```

Results
final energy: -158.254 eV/cell
energy of formation: -0.358 eV per formula unit

---

No. 2
Here is crystalline HoMg3Cu8 at its relaxed geometry from Alexandria via LeMat-Bulk. Energies are from PBE.

```
data_HoMg3Cu8
_cell_length_a 5.0374
_cell_length_b 5.0374
_cell_length_c 24.7231
_cell_angle_alpha 90.00
_cell_angle_beta 90.00
_cell_angle_gamma 120.00
_space_group_name_H-M_alt 'R 3 m'
_space_group_IT_number 160
_space_group_name_Hall 'R 3 -2"'
loop_
_atom_site_label
_atom_site_type_symbol
_atom_site_fract_x
_atom_site_fract_y
_atom_site_fract_z
Ho1 Ho 0.0000 0.0000 0.0000
Mg1 Mg 0.0000 0.0000 0.1284
Mg2 Mg 0.0000 0.0000 0.4971
Mg3 Mg 0.0000 0.0000 0.6175
Cu1 Cu 0.0000 0.0000 0.3110
Cu2 Cu 0.0000 0.0000 0.8118
Cu3 Cu 0.9997 0.4998 0.0630
Cu4 Cu 0.1671 0.3342 0.8941
```

Results
final energy: -133.038 eV/cell
energy of formation: -2.215 eV per formula unit

---

No. 3
Here is crystalline HoMg3Cu at its relaxed geometry from Alexandria via LeMat-Bulk. Energies are from PBE.

```
data_HoMg3Cu
_cell_length_a 8.315
_cell_length_b 12.153
_cell_length_c 4.319
_cell_angle_alpha 90.00
_cell_angle_beta 90.00
_cell_angle_gamma 90.00
_space_group_name_H-M_alt 'C m m m'
_space_group_IT_number 65
_space_group_name_Hall '-C 2 2'
loop_
_atom_site_label
_atom_site_type_symbol
_atom_site_fract_x
_atom_site_fract_y
_atom_site_fract_z
Ho1 Ho 0.000 0.207 0.000
Mg1 Mg 0.000 0.000 0.500
Mg2 Mg 0.000 0.500 0.000
Mg3 Mg 0.195 0.370 0.500
Cu1 Cu 0.186 0.000 0.000
```

Results
final energy: -56.135 eV/cell
energy of formation: -0.576 eV per formula unit

---

Calculated magnetization (μB per atom), listed in the same order as above: 0.000; 0.000; 0.000
Calculated V (Å³ per cell), listed in the same order as above: 1027; 543; 436